Material: La2ScOs
Method: DFT, PBE
State: optimized geometry

abc: 3.391 3.391 9.509
angles: 90.00 90.00 90.00
Atoms (fractional coordinates):
La  0.000  0.000  0.000
La  0.500  0.500  0.357
Sc  0.500  0.500  0.703
Os  0.000  0.000  0.553

Values from the calculation:
Raw total energy ... -27.7 eV for the cell shown
Theoretical density ... 7.8 g cm⁻³
Polymorph energy (0 for the lowest one) ... 0 meV per atom
SG ... P4mm, No. 99
E_form ... -0.0801 eV/atom

Material: LaSc2Os
Method: DFT, PBE
State: optimized geometry

abc: 6.218 6.218 6.218
angles: 147.77 132.83 58.28
Atoms (fractional coordinates):
La  0.000  0.000  0.000
Sc  0.397  0.397  0.000
Sc  0.708  0.208  0.500
Os  0.215  0.715  0.500

Values from the calculation:
Raw total energy ... -29.2 eV for the cell shown
Theoretical density ... 7.5 g cm⁻³
Polymorph energy (0 for the lowest one) ... 165 meV per atom
SG ... Imm2, No. 44
E_form ... -0.0897 eV/atom

Material: LaSc3Os
Method: DFT, PBE
State: optimized geometry

abc: 4.968 4.968 4.968
angles: 90.00 90.00 90.00
Atoms (fractional coordinates):
La  0.000  0.000  0.000
Sc  0.000  0.000  0.500
Sc  0.000  0.500  0.000
Sc  0.500  0.000  0.000
Os  0.500  0.500  0.500

Values from the calculation:
Raw total energy ... -27.2 eV for the cell shown
Theoretical density ... 6.3 g cm⁻³
Polymorph energy (0 for the lowest one) ... 1710 meV per atom
SG ... Pm-3m, No. 221
E_form ... 1.5939 eV/atom

Material: La2ScOs
Method: DFT, PBE
State: optimized geometry

abc: 5.115 5.115 5.115
angles: 60.00 60.00 60.00
Atoms (fractional coordinates):
La  0.000  0.000  0.000
La  0.250  0.250  0.250
Sc  0.500  0.500  0.500
Os  0.750  0.750  0.750

Values from the calculation:
Raw total energy ... -26.7 eV for the cell shown
Theoretical density ... 9.0 g cm⁻³
Polymorph energy (0 for the lowest one) ... 258 meV per atom
SG ... F-43m, No. 216
E_form ... 0.1776 eV/atom